Record 1
A plane-wave DFT calculation with PBE-GGA was carried out for a relaxed structure of AcTbPm2Ho4.

Cell lengths 9.629, 9.629, 9.629 Å; angles 137.93, 103.38, 91.50 degrees
Fractional coordinates of all 16 atoms:
Ac  0.000  0.000  0.000
Ac  0.500  0.000  0.500
Tb  0.500  0.000  0.000
Tb  0.500  0.500  0.500
Pm  0.000  0.000  0.500
Pm  0.000  0.500  0.000
Pm  0.000  0.500  0.500
Pm  0.500  0.500  0.000
Ho  0.245  0.742  0.503
Ho  0.253  0.266  0.513
Ho  0.253  0.740  0.987
Ho  0.261  0.258  0.003
Ho  0.739  0.742  0.997
Ho  0.747  0.260  0.013
Ho  0.747  0.734  0.487
Ho  0.755  0.258  0.497

* SG: No. 74
* E_tot: -4.134 eV per atom
* crystal system: orthorhombic
* magnetization: 3.5 Bohr magnetons per cell

=====

Record 2
A plane-wave DFT calculation with PBE-GGA was carried out for a relaxed structure of AcTb2Pm6Ho3.

Cell lengths 6.296, 6.296, 12.017 Å; angles 95.02, 95.02, 119.99 degrees
Fractional coordinates of all 12 atoms:
Ac  0.000  0.000  0.000
Tb  0.333  0.667  0.000
Tb  0.667  0.333  0.000
Pm  0.085  0.422  0.255
Pm  0.251  0.251  0.744
Pm  0.422  0.085  0.255
Pm  0.578  0.915  0.745
Pm  0.749  0.749  0.256
Pm  0.915  0.578  0.745
Ho  0.167  0.833  0.500
Ho  0.500  0.500  0.500
Ho  0.833  0.167  0.500

* SG: No. 12
* E_tot: -4.606 eV per atom
* crystal system: monoclinic
* magnetization: 0.0 Bohr magnetons per cell

=====

Record 3
A plane-wave DFT calculation with PBE-GGA was carried out for a relaxed structure of AcTb2PmHo.

Cell lengths 9.362, 9.362, 6.487 Å; angles 90.00, 90.00, 139.44 degrees
Fractional coordinates of all 10 atoms:
Ac  0.159  0.841  0.750
Ac  0.841  0.159  0.250
Tb  0.252  0.252  0.000
Tb  0.252  0.252  0.500
Tb  0.748  0.748  0.000
Tb  0.748  0.748  0.500
Pm  0.347  0.653  0.750
Pm  0.653  0.347  0.250
Ho  0.250  0.750  0.250
Ho  0.750  0.250  0.750

* SG: No. 63
* E_tot: -4.153 eV per atom
* crystal system: orthorhombic
* magnetization: 0.0 Bohr magnetons per cell

=====

no.,energy of formation from the pure elements (meV per atom)
1,434
2,27
3,386